Record 1
Here is crystalline SbSeBr2N at its relaxed geometry from the Alexandria database. Energies are from PBE.

Lattice parameters (Å, degrees): 4.5701 4.5701 4.9686 90.00 90.00 90.00
Fractional coordinates of all 5 atoms:
Sb 0.5000 0.5000 0.5000
Br 0.0000 0.5000 0.0000
Br 0.5000 0.0000 0.0000
Se 0.0000 0.0000 0.5000
N 0.0000 0.0000 0.0000

Energy above the lowest structure with this stoichiometry: 0 meV/atom
SG: No. 123
DOS at the Fermi energy: 2.54 states/eV per cell
Size of the total moment: 0.0 μB/f.u.
Raw formation energy: 0.891 eV/atom
Uncorrected energy: -14.8 eV for the cell shown


Record 2
Here is crystalline Pr2Sm3Bi2 at its relaxed geometry from the Alexandria database. Energies are from PBE.

Lattice parameters (Å, degrees): 4.4185 6.6579 8.9583 107.49 90.00 109.38
Fractional coordinates of all 7 atoms:
Sm 0.6263 0.2525 0.4498
Sm 0.5000 0.0000 0.0000
Sm 0.3737 0.7475 0.5502
Bi 0.8288 0.6576 0.8012
Bi 0.1712 0.3424 0.1988
Pr 0.1310 0.2620 0.7896
Pr 0.8690 0.7380 0.2104

SG: No. 12
DFT formation energy: -0.496 eV per atom
DOS at the Fermi energy: 9.54 states/eV per cell
Size of the total moment: 0.0 μB/f.u.
Uncorrected energy: -35.0 eV for the cell shown


Record 3
Here is crystalline NaSeN2Cl at its relaxed geometry from the Alexandria database. Energies are from PBE.

Lattice parameters (Å, degrees): 4.4986 4.4986 5.8507 90.00 90.00 90.00
Each line ends with the local moment (μB).
Fractional coordinates of all 5 atoms:
Se 0.0000 0.0000 0.5000  0.29
Na 0.0000 0.0000 0.0000  0.02
N 0.5000 0.0000 0.0000  1.78
N 0.0000 0.5000 0.0000  1.78
Cl 0.5000 0.5000 0.5000  0.08

Energy above the lowest structure with this stoichiometry: 187 meV/atom
SG: No. 123
DOS at the Fermi energy: 2.46 states/eV per cell
Size of the total moment: 5.9 μB/f.u.
Raw formation energy: 1.938 eV/atom
Uncorrected energy: -13.6 eV for the cell shown


Record 4
Here is crystalline LiAs2W at its relaxed geometry from the Alexandria database. Energies are from PBE.

Lattice parameters (Å, degrees): 10.5868 10.5868 10.5868 15.70 15.70 15.70
Fractional coordinates of all 4 atoms:
Li 0.4974 0.4974 0.4974
As 0.2321 0.2321 0.2321
As 0.0185 0.0185 0.0185
W 0.7520 0.7520 0.7520

Energy above the lowest structure with this stoichiometry: 499 meV/atom
SG: No. 160
DFT formation energy: 0.309 eV per atom
DOS at the Fermi energy: 2.75 states/eV per cell
Size of the total moment: 0.1 μB/f.u.
Uncorrected energy: -22.9 eV for the cell shown


Record 5
Here is crystalline Ba2P2Au at its relaxed geometry from the Alexandria database. Energies are from PBE.

Lattice parameters (Å, degrees): 4.4551 6.3509 11.1542 74.91 78.48 69.46
Fractional coordinates of all 10 atoms:
P 0.3469 0.1622 0.1442
P 0.6531 0.8378 0.8558
P 0.0395 0.3420 0.5793
P 0.9605 0.6580 0.4207
Ba 0.0875 0.7305 0.0942
Ba 0.9125 0.2695 0.9058
Ba 0.2970 0.7588 0.6474
Ba 0.7030 0.2412 0.3526
Au 0.4293 0.8173 0.3235
Au 0.5707 0.1827 0.6765

Energy above the lowest structure with this stoichiometry: 0 meV/atom
SG: No. 12
DFT formation energy: -0.868 eV per atom
DOS at the Fermi energy: 0.96 states/eV per cell
Size of the total moment: 0.0 μB/f.u.
Uncorrected energy: -44.6 eV for the cell shown


Record 6
Here is crystalline Tl2Ag4Sn5 at its relaxed geometry from the Alexandria database. Energies are from PBE.

Lattice parameters (Å, degrees): 6.3692 7.3251 7.3179 77.34 64.20 64.23
Fractional coordinates of all 11 atoms:
Ag 0.7559 0.5655 0.9227
Ag 0.2441 0.4345 0.0773
Ag 0.2444 0.0791 0.4322
Ag 0.7556 0.9209 0.5678
Sn 0.2466 0.8327 0.1670
Sn 0.7534 0.1673 0.8330
Sn 0.2463 0.1673 0.8330
Sn 0.0000 0.5000 0.5000
Sn 0.7537 0.8327 0.1670
Tl 0.3179 0.6831 0.6812
Tl 0.6821 0.3169 0.3188

SG: No. 12
DFT formation energy: 0.066 eV per atom
DOS at the Fermi energy: 4.97 states/eV per cell
Size of the total moment: 0.0 μB/f.u.
Uncorrected energy: -35.4 eV for the cell shown


Record 7
Here is crystalline Dy2CdSi2Pd5 at its relaxed geometry from the Alexandria database. Energies are from PBE.

Lattice parameters (Å, degrees): 3.5820 10.0553 10.0553 90.00 90.00 90.00
Fractional coordinates of all 20 atoms:
Si 0.0000 0.6240 0.8760
Si 0.0000 0.3760 0.1240
Si 0.0000 0.8760 0.3760
Si 0.0000 0.1240 0.6240
Cd 0.0000 0.0000 0.0000
Cd 0.0000 0.5000 0.5000
Pd 0.5000 0.9391 0.2184
Pd 0.5000 0.2816 0.5609
Pd 0.5000 0.4391 0.2816
Pd 0.5000 0.7816 0.9391
Pd 0.5000 0.2184 0.0609
Pd 0.5000 0.0000 0.5000
Pd 0.5000 0.0609 0.7816
Pd 0.5000 0.7184 0.4391
Pd 0.5000 0.5000 0.0000
Pd 0.5000 0.5609 0.7184
Dy 0.0000 0.6754 0.1754
Dy 0.0000 0.3246 0.8246
Dy 0.0000 0.8246 0.6754
Dy 0.0000 0.1754 0.3246

SG: No. 127
DOS at the Fermi energy: 18.27 states/eV per cell
Size of the total moment: 0.0 μB/f.u.
Raw formation energy: -0.718 eV/atom
Uncorrected energy: -108.2 eV for the cell shown


Record 8
Here is crystalline BaHf2Ta at its relaxed geometry from the Alexandria database. Energies are from PBE.

Lattice parameters (Å, degrees): 5.1548 5.1548 5.1548 60.00 60.00 60.00
Fractional coordinates of all 4 atoms:
Ba 0.0000 0.0000 0.0000
Ta 0.5000 0.5000 0.5000
Hf 0.7500 0.7500 0.7500
Hf 0.2500 0.2500 0.2500

Energy above the lowest structure with this stoichiometry: 0 meV/atom
SG: No. 225
DFT formation energy: 0.876 eV per atom
DOS at the Fermi energy: 10.87 states/eV per cell
Size of the total moment: 0.0 μB/f.u.
Uncorrected energy: -30.2 eV for the cell shown


Record 9
Here is crystalline K3Pr3PuO8 at its relaxed geometry from the Alexandria database. Energies are from PBE.

Lattice parameters (Å, degrees): 7.2729 7.2726 7.6187 118.51 90.00 120.00
Each line ends with the local moment (μB).
Fractional coordinates of all 15 atoms:
O 0.2704 0.5407 0.3111  0.00
O 0.7859 0.0366 0.3225  -0.04
O 0.7492 0.9634 0.6775  -0.04
O 0.2508 0.0366 0.3225  -0.04
O 0.7296 0.4593 0.6889  0.00
O 0.2142 0.9634 0.6775  -0.04
O 0.7859 0.5717 0.3225  -0.04
O 0.2141 0.4283 0.6775  -0.04
Pr 0.0000 0.5000 0.5000  0.01
Pr 0.5000 0.0000 0.5000  0.01
Pr 0.5000 0.5000 0.5000  0.01
K 0.0000 0.5000 0.0000  0.00
K 0.5000 0.5000 0.0000  0.00
K 0.0000 0.0000 0.0000  0.00
Pu 0.0000 0.0000 0.5000  4.16

SG: No. 166
DOS at the Fermi energy: 5.14 states/eV per cell
Size of the total moment: 4.0 μB/f.u.
Raw formation energy: -2.669 eV/atom
Uncorrected energy: -111.7 eV for the cell shown


Record 10
Here is crystalline Ga12S5Br3 at its relaxed geometry from the Alexandria database. Energies are from PBE.

Lattice parameters (Å, degrees): 14.5915 14.5915 14.5915 109.47 109.47 109.47
Fractional coordinates of all 80 atoms:
Br 0.6250 0.2500 0.3750
Br 0.1250 0.8750 0.7500
Br 0.1250 0.2500 0.8750
Br 0.2500 0.1250 0.3750
Br 0.7500 0.3750 0.1250
Br 0.8750 0.1250 0.2500
Br 0.3750 0.7500 0.6250
Br 0.8750 0.7500 0.1250
Br 0.7500 0.8750 0.6250
Br 0.2500 0.6250 0.8750
Br 0.6250 0.3750 0.7500
Br 0.3750 0.6250 0.2500
S 0.5000 0.5000 0.0000
S 0.0000 0.5000 0.0000
S 0.1250 0.7500 0.3750
S 0.2500 0.3750 0.6250
S 0.7500 0.1250 0.8750
S 0.0000 0.0000 0.0000
S 0.8750 0.6250 0.7500
S 0.5000 0.0000 0.0000
S 0.6250 0.7500 0.8750
S 0.8750 0.2500 0.6250
S 0.5000 0.5000 0.5000
S 0.6250 0.8750 0.2500
S 0.3750 0.2500 0.1250
S 0.2500 0.8750 0.1250
S 0.1250 0.3750 0.2500
S 0.7500 0.6250 0.3750
S 0.0000 0.5000 0.5000
S 0.5000 0.0000 0.5000
S 0.0000 0.0000 0.5000
S 0.3750 0.1250 0.7500
Ga 0.4553 0.7812 0.8622
Ga 0.1741 0.0931 0.9553
Ga 0.7812 0.3259 0.9190
Ga 0.4190 0.1378 0.5931
Ga 0.4553 0.6741 0.0931
Ga 0.9190 0.0931 0.6378
Ga 0.8622 0.2812 0.4553
Ga 0.6741 0.2188 0.5810
Ga 0.7188 0.5810 0.1741
Ga 0.0931 0.1741 0.4553
Ga 0.7812 0.4553 0.3622
Ga 0.9069 0.0810 0.8622
Ga 0.8622 0.5810 0.9069
Ga 0.4190 0.2812 0.3259
Ga 0.2812 0.8622 0.9553
Ga 0.3622 0.4069 0.0810
Ga 0.4069 0.0447 0.3259
Ga 0.6378 0.0447 0.2188
Ga 0.4069 0.3622 0.5810
Ga 0.2188 0.6741 0.0810
Ga 0.0810 0.9069 0.3622
Ga 0.5447 0.2188 0.1378
Ga 0.5810 0.7188 0.6741
Ga 0.9069 0.8259 0.5447
Ga 0.9190 0.8259 0.7812
Ga 0.8259 0.9069 0.0447
Ga 0.0810 0.1741 0.2188
Ga 0.2812 0.4190 0.8259
Ga 0.1741 0.0810 0.7188
Ga 0.0447 0.4069 0.8259
Ga 0.9553 0.3622 0.2812
Ga 0.5931 0.9553 0.6741
Ga 0.1378 0.7188 0.5447
Ga 0.5931 0.6378 0.4190
Ga 0.0447 0.6378 0.7188
Ga 0.5810 0.8622 0.4069
Ga 0.2188 0.5447 0.6378
Ga 0.6741 0.4553 0.5931
Ga 0.3259 0.7812 0.4190
Ga 0.5447 0.3259 0.9069
Ga 0.3622 0.9553 0.7812
Ga 0.7188 0.1378 0.0447
Ga 0.1378 0.4190 0.0931
Ga 0.9553 0.5931 0.1741
Ga 0.6378 0.5931 0.9190
Ga 0.0931 0.9190 0.1378
Ga 0.3259 0.5447 0.4069
Ga 0.8259 0.9190 0.2812

SG: No. 230
DOS at the Fermi energy: 9.08 states/eV per cell
Size of the total moment: 0.0 μB/f.u.
Raw formation energy: -0.099 eV/atom
Uncorrected energy: -255.8 eV for the cell shown


Record 11
Here is crystalline SrGaPb2 at its relaxed geometry from the Alexandria database. Energies are from PBE.

Lattice parameters (Å, degrees): 4.9308 4.8774 4.8774 90.00 90.00 90.00
Fractional coordinates of all 4 atoms:
Pb 0.0000 0.0000 0.5000
Pb 0.0000 0.5000 0.0000
Ga 0.5000 0.0000 0.0000
Sr 0.5000 0.5000 0.5000

SG: No. 123
DFT formation energy: -0.278 eV per atom
DOS at the Fermi energy: 2.31 states/eV per cell
Size of the total moment: 0.0 μB/f.u.
Uncorrected energy: -13.2 eV for the cell shown


Record 12
Here is crystalline LiAl2W at its relaxed geometry from the Alexandria database. Energies are from PBE.

Lattice parameters (Å, degrees): 3.6110 4.0303 4.0303 90.00 90.00 90.00
Fractional coordinates of all 4 atoms:
Li 0.5000 0.5000 0.0000
W 0.5000 0.0000 0.5000
Al 0.0000 0.5000 0.5000
Al 0.0000 0.0000 0.0000

Energy above the lowest structure with this stoichiometry: 137 meV/atom
SG: No. 123
DFT formation energy: 0.053 eV per atom
DOS at the Fermi energy: 2.47 states/eV per cell
Size of the total moment: 0.0 μB/f.u.
Uncorrected energy: -22.1 eV for the cell shown